#i
MnRe2Ag: single point on PBEsol structure, SCAN.

Cell and atoms, written as extended XYZ:
```
4
Lattice="2.605 -0.024 0.000 -0.979 5.019 0.000 -0.813 -2.497 4.435" Properties=species:S:1:pos:R:3 pbc="T T T"
Ag 1.302 -0.012 0.000
Re -0.407 -1.249 2.217
Mn -0.489 2.510 0.000
Re 0.407 1.249 2.217
```

#ii
MnRe2Ag: single point on PBEsol structure, SCAN.

Cell and atoms, written as extended XYZ:
```
4
Lattice="-1.281 0.433 2.295 -3.331 -0.413 -3.328 0.551 -4.624 1.181" Properties=species:S:1:pos:R:3 pbc="T T T"
Re 0.458 -4.596 1.124
Mn -2.405 -1.046 0.401
Ag -3.667 -2.438 -1.586
Re -1.594 -3.656 -0.200
```

The winner here is #ii, beating the second structure by 24 meV per atom.

#i
MnAg2Rh: single point on PBEsol structure, SCAN.

Cell and atoms, written as extended XYZ:
```
4
Lattice="-2.482 0.168 -1.184 -0.991 -2.135 -1.431 -4.998 -3.957 6.712" Properties=species:S:1:pos:R:3 pbc="T T T"
Mn -4.235 -2.962 2.049
Rh 0.000 0.000 0.000
Ag -2.128 -1.490 1.045
Ag -6.343 -4.434 3.052
```

#ii
MnAg2Rh: single point on PBEsol structure, SCAN.

Cell and atoms, written as extended XYZ:
```
4
Lattice="3.319 0.000 0.000 0.000 3.319 0.000 0.000 0.000 5.540" Properties=species:S:1:pos:R:3 pbc="T T T"
Rh 1.660 1.660 2.770
Ag 0.000 0.000 4.171
Ag 0.000 0.000 1.369
Mn 1.660 1.660 0.000
```

#iii
MnAg2Rh: single point on PBEsol structure, SCAN.

Cell and atoms, written as extended XYZ:
```
4
Lattice="4.406 0.000 0.000 2.203 3.815 0.000 2.203 1.272 3.597" Properties=species:S:1:pos:R:3 pbc="T T T"
Ag 0.000 0.000 0.000
Rh 2.203 1.272 0.899
Mn 4.406 2.544 1.799
Ag 6.608 3.815 2.698
```

#iv
MnAg2Rh: single point on PBEsol structure, SCAN.

Cell and atoms, written as extended XYZ:
```
4
Lattice="2.769 0.000 0.000 -0.300 4.671 0.000 -1.235 -2.335 4.709" Properties=species:S:1:pos:R:3 pbc="T T T"
Ag 0.617 1.168 2.355
Mn 1.385 0.000 0.000
Rh -0.150 2.335 0.000
Ag -0.617 -1.168 2.355
```

The winner here is #iii, beating the second structure by 78 meV per atom.

#i
MnAg2Ru: single point on PBEsol structure, SCAN.

Cell and atoms, written as extended XYZ:
```
4
Lattice="-0.917 -1.572 3.289 -2.903 -1.736 -1.639 2.461 -3.282 -0.883" Properties=species:S:1:pos:R:3 pbc="T T T"
Mn -0.679 -3.295 0.383
Ru 1.231 -1.641 -0.441
Ag -1.451 -0.868 -0.820
Ag -0.458 -0.786 1.644
```

#ii
MnAg2Ru: single point on PBEsol structure, SCAN.

Cell and atoms, written as extended XYZ:
```
4
Lattice="-1.596 -0.048 2.179 1.743 -2.060 -0.130 6.044 4.827 4.534" Properties=species:S:1:pos:R:3 pbc="T T T"
Ag 0.036 0.029 0.027
Ag 4.527 2.503 4.366
Mn 2.929 2.339 2.197
Ru 1.720 0.261 2.260
```

#iii
MnAg2Ru: single point on PBEsol structure, SCAN.

Cell and atoms, written as extended XYZ:
```
4
Lattice="-0.430 -1.134 -2.357 -3.083 -2.835 2.431 -1.727 5.053 -0.877" Properties=species:S:1:pos:R:3 pbc="T T T"
Ag -0.864 2.527 -0.439
Ag -2.621 0.542 -0.402
Mn -0.215 -0.567 -1.179
Ru -1.542 -1.418 1.216
```

The winner here is #ii, beating the second structure by 92 meV per atom.

#i
MnAgRu2: single point on PBEsol structure, SCAN.

Cell and atoms, written as extended XYZ:
```
4
Lattice="-0.799 1.440 2.151 -2.524 0.064 -0.981 -1.623 -6.503 3.752" Properties=species:S:1:pos:R:3 pbc="T T T"
Mn -2.905 -4.228 3.458
Ag -0.817 -3.275 1.890
Ru -2.029 -0.720 1.435
Ru -0.007 -0.027 0.016
```

#ii
MnAgRu2: single point on PBEsol structure, SCAN.

Cell and atoms, written as extended XYZ:
```
4
Lattice="-0.676 -2.322 -1.054 0.465 -1.184 2.311 -7.303 1.185 2.075" Properties=species:S:1:pos:R:3 pbc="T T T"
Ru -2.054 0.333 0.584
Mn -3.757 -1.161 1.666
Ru -5.249 0.851 1.492
Ag -0.106 -1.753 0.629
```

#iii
MnAgRu2: single point on PBEsol structure, SCAN.

Cell and atoms, written as extended XYZ:
```
4
Lattice="2.702 0.000 0.000 -1.351 4.482 -0.023 0.000 -1.018 4.542" Properties=species:S:1:pos:R:3 pbc="T T T"
Ru 0.000 1.860 1.024
Mn 1.351 0.000 0.000
Ru 1.351 1.604 3.495
Ag 0.000 -0.509 2.271
```

#iv
MnAgRu2: single point on PBEsol structure, SCAN.

Cell and atoms, written as extended XYZ:
```
4
Lattice="2.752 0.000 0.000 0.000 4.421 0.000 -1.376 -2.211 4.604" Properties=species:S:1:pos:R:3 pbc="T T T"
Ag 0.000 2.211 0.000
Mn 1.376 0.000 0.000
Ru 0.000 0.000 2.028
Ru 1.376 2.211 2.576
```

The winner here is #i, beating the second structure by 111 meV per atom.

#i
MnAgRu2: single point on PBEsol structure, SCAN.

Cell and atoms, written as extended XYZ:
```
4
Lattice="2.637 0.044 0.000 -1.176 2.361 0.000 0.000 0.000 8.898" Properties=species:S:1:pos:R:3 pbc="T T T"
Ru 0.000 0.000 6.890
Ru 0.000 0.000 2.007
Mn 0.731 1.202 0.000
Ag 0.731 1.202 4.449
```

#ii
MnAgRu2: single point on PBEsol structure, SCAN.

Cell and atoms, written as extended XYZ:
```
4
Lattice="4.318 0.000 0.000 2.159 3.739 0.000 2.159 1.246 3.525" Properties=species:S:1:pos:R:3 pbc="T T T"
Mn 2.159 1.246 0.881
Ru 6.477 3.739 2.644
Ag 4.318 2.493 1.763
Ru 0.000 0.000 0.000
```

The winner here is #i, beating the second structure by 76 meV per atom.

#i
MnSiAg2: single point on PBEsol structure, SCAN.

Cell and atoms, written as extended XYZ:
```
4
Lattice="-1.420 -2.041 -1.207 -0.060 -2.137 4.152 -4.016 2.168 1.058" Properties=species:S:1:pos:R:3 pbc="T T T"
Ag -1.078 -3.089 2.239
Mn -2.038 0.016 2.605
Ag -0.402 -1.089 0.707
Si -2.718 0.063 -0.074
```

#ii
MnSiAg2: single point on PBEsol structure, SCAN.

Cell and atoms, written as extended XYZ:
```
4
Lattice="-1.788 1.956 -1.163 -3.516 -1.826 2.335 3.475 2.717 2.827" Properties=species:S:1:pos:R:3 pbc="T T T"
Mn -2.608 0.216 0.771
Ag -1.868 2.719 3.843
Si -1.365 0.416 2.799
Ag -0.472 2.406 1.171
```

The winner here is #i, beating the second structure by 23 meV per atom.